<1>
A plane-wave DFT calculation with GGA-PBE was carried out for a geometry-optimized MgCoIN2 structure.

Cell and atoms, written as POSCAR:
```
MgCoIN2
1.0
4.0891 0.0000 0.0000
0.0000 4.0891 0.0000
0.0000 0.0000 6.1552
I N Mg Co
1 2 1 1
Direct
0.0000 0.0000 0.5000
0.0000 0.5000 0.0000
0.5000 0.0000 0.0000
0.0000 0.0000 0.0000
0.5000 0.5000 0.5000
```

As for the space group: No. 123.

<2>
A plane-wave DFT calculation with GGA-PBE was carried out for a geometry-optimized MgCoIN2 structure.

Cell and atoms, written as POSCAR:
```
MgCoIN2
1.0
-2.5603 -2.2716 2.2500
4.3323 -3.4823 1.4140
0.8061 2.3307 3.2704
N I Co Mg
2 1 1 1
Direct
0.5000 0.0000 0.0000
0.0000 0.0000 0.5000
0.0000 0.0000 0.0000
0.5000 0.5000 0.5000
0.0000 0.5000 0.0000
```

As for the space group: No. 123.

<3>
A plane-wave DFT calculation with GGA-PBE was carried out for a geometry-optimized MgCoIN2 structure.

Cell and atoms, written as POSCAR:
```
MgCoIN2
1.0
-0.7133 3.3196 1.5543
0.1038 -1.5646 3.3891
6.2202 1.1724 0.3508
Mg N I Co
1 2 1 1
Direct
0.5000 0.5000 0.5000
0.5000 0.0000 0.0000
0.0000 0.5000 0.0000
0.0000 0.0000 0.5000
0.0000 0.0000 0.0000
```

As for the space group: No. 123.

<2> is the least stable structure shown above.